Entry 1:
An optimized crystal structure of Sm2YHo9. Source: Alexandria via LeMat-Bulk, functional PBE.

Cell and atoms, written as POSCAR:
```
Sm2YHo9
1.0
5.015 0.000 0.000
0.000 5.015 0.000
0.000 0.000 15.049
Sm Y Ho
2 1 9
Direct
0.000 0.000 0.167
0.000 0.000 0.833
0.000 0.000 0.500
0.000 0.500 0.000
0.000 0.500 0.334
0.000 0.500 0.666
0.500 0.000 0.000
0.500 0.000 0.334
0.500 0.000 0.666
0.500 0.500 0.167
0.500 0.500 0.500
0.500 0.500 0.833
```

Results
The magnetic moment comes out at 0.0 Bohr magnetons per cell. As for the density of states at the Fermi level: 1.442 states/eV/atom. The calculation puts the energy relative to the elements at 0.27 eV/f.u. Its space-group type is No. 123. The calculation puts the calculated density at 8.22 Mg/m³. Its polymorph energy (0 for the lowest one) is 0.0 meV/atom.

***

Entry 2:
An optimized crystal structure of Sm2YHo8. Source: Alexandria via LeMat-Bulk, functional PBE.

Cell and atoms, written as POSCAR:
```
Sm2YHo8
1.0
8.256 -3.306 0.000
8.256 3.306 0.000
-1.141 0.000 6.523
Sm Y Ho
2 1 8
Direct
0.244 0.244 0.311
0.756 0.756 0.689
0.000 0.000 0.000
0.174 0.651 0.596
0.201 0.201 0.802
0.349 0.826 0.404
0.412 0.412 0.096
0.588 0.588 0.904
0.651 0.174 0.596
0.799 0.799 0.198
0.826 0.349 0.404
```

Results
The magnetic moment comes out at 0.0 Bohr magnetons per cell. As for the density of states at the Fermi level: 1.583 states/eV/atom. The calculation puts the energy relative to the elements at 1.89 eV/f.u. Its space-group type is No. 12. The calculation puts the calculated density at 7.97 Mg/m³. Its polymorph energy (0 for the lowest one) is 6.4 meV/atom.

***

Entry 3:
An optimized crystal structure of SmYHo2. Source: Alexandria via LeMat-Bulk, functional PBE.

Cell and atoms, written as POSCAR:
```
SmYHo2
1.0
3.563 0.000 0.000
0.000 3.563 0.000
0.000 0.000 10.075
Sm Y Ho
1 1 2
Direct
0.000 0.000 0.000
0.000 0.000 0.500
0.500 0.500 0.251
0.500 0.500 0.749
```

Results
The magnetic moment comes out at 0.0 Bohr magnetons per cell. As for the density of states at the Fermi level: 1.340 states/eV/atom. The calculation puts the energy relative to the elements at 0.09 eV/f.u. Its space-group type is No. 123. The calculation puts the calculated density at 7.39 Mg/m³. Its polymorph energy (0 for the lowest one) is 10.8 meV/atom.

***

Entry 4:
An optimized crystal structure of Sm8YHo3. Source: Alexandria via LeMat-Bulk, functional PBE.

Cell and atoms, written as POSCAR:
```
Sm8YHo3
1.0
3.501 -5.980 0.000
3.501 5.980 0.000
-2.393 0.000 9.491
Sm Y Ho
8 1 3
Direct
0.176 0.681 0.667
0.179 0.179 0.163
0.319 0.824 0.333
0.321 0.321 0.832
0.679 0.679 0.168
0.681 0.176 0.667
0.821 0.821 0.837
0.824 0.319 0.333
0.500 0.500 0.500
0.000 0.000 0.500
0.000 0.500 0.000
0.500 0.000 0.000
```

Results
The magnetic moment comes out at 0.0 Bohr magnetons per cell. As for the density of states at the Fermi level: 2.103 states/eV/atom. The calculation puts the energy relative to the elements at 1.44 eV/f.u. Its space-group type is No. 12. The calculation puts the calculated density at 7.47 Mg/m³.

***

Entry 5:
An optimized crystal structure of Sm4YHo2. Source: Alexandria via LeMat-Bulk, functional PBE.

Cell and atoms, written as POSCAR:
```
Sm4YHo2
1.0
6.233 0.000 0.000
0.000 6.598 0.000
-2.950 0.000 11.179
Sm Y Ho
8 2 4
Direct
0.041 0.250 0.363
0.148 0.250 0.951
0.349 0.509 0.214
0.349 0.991 0.214
0.651 0.009 0.786
0.651 0.491 0.786
0.852 0.750 0.049
0.959 0.750 0.637
0.153 0.250 0.664
0.847 0.750 0.336
0.291 0.750 0.923
0.391 0.750 0.507
0.609 0.250 0.493
0.709 0.250 0.077
```

Results
The magnetic moment comes out at 0.0 Bohr magnetons per cell. As for the density of states at the Fermi level: 1.576 states/eV/atom. The calculation puts the energy relative to the elements at 0.89 eV/f.u. Its space-group type is No. 11. The calculation puts the calculated density at 7.37 Mg/m³. Its polymorph energy (0 for the lowest one) is 88.1 meV/atom.

***

Entry 6:
An optimized crystal structure of Sm12Y2Ho5. Source: Alexandria via LeMat-Bulk, functional PBE.

Cell and atoms, written as POSCAR:
```
Sm12Y2Ho5
1.0
7.905 -5.091 0.000
7.905 5.091 0.000
-0.164 0.000 7.939
Sm Y Ho
12 2 5
Direct
0.052 0.052 0.208
0.074 0.540 0.705
0.121 0.668 0.111
0.332 0.879 0.889
0.345 0.345 0.378
0.460 0.926 0.295
0.540 0.074 0.705
0.655 0.655 0.622
0.668 0.121 0.111
0.879 0.332 0.889
0.926 0.460 0.295
0.948 0.948 0.792
0.264 0.736 0.500
0.736 0.264 0.500
0.148 0.148 0.584
0.254 0.254 0.009
0.500 0.500 0.000
0.746 0.746 0.991
0.852 0.852 0.416
```

Results
The magnetic moment comes out at 0.0 Bohr magnetons per cell. As for the density of states at the Fermi level: 1.397 states/eV/atom. The calculation puts the energy relative to the elements at 2.56 eV/f.u. Its space-group type is No. 12. The calculation puts the calculated density at 7.29 Mg/m³. Its polymorph energy (0 for the lowest one) is 7.2 meV/atom.

***

Which value of magnetic moment does entry 2 give?
0.0 Bohr magnetons per cell